1.
# LiPbS PBE optimized geometry
data_LiPbS
_chemical_formula_sum 'Li4 Pb4 S4'
_symmetry_space_group_name_H-M 'C 1 m 1'
_symmetry_Int_Tables_number 8
_symmetry_space_group_name_Hall 'C -2y'
_cell_length_a 17.929
_cell_length_b 4.057
_cell_length_c 4.056
_cell_angle_alpha 90.00
_cell_angle_beta 102.99
_cell_angle_gamma 90.00
loop_
_atom_site_label
_atom_site_type_symbol
_atom_site_fract_x
_atom_site_fract_y
_atom_site_fract_z
Li1 Li 0.000 0.000 0.000
Li2 Li 0.000 0.500 0.500
Pb1 Pb 0.159 0.000 0.655
Pb2 Pb 0.284 0.500 0.282
S1 S 0.092 0.500 0.091
S2 S 0.435 0.500 0.435
# Calculated volume (Å³/atom): 23.958
# Formation energy from raw total energies (kJ/mol of formula units): -196
# Polymorph energy (0 for the lowest one) (eV per atom): 0.021
# Magnetization (μB per cell): 0.00

2.
# LiPbS PBE optimized geometry
data_LiPbS
_chemical_formula_sum 'Li2 Pb2 S2'
_symmetry_space_group_name_H-M 'P m n 21'
_symmetry_Int_Tables_number 31
_symmetry_space_group_name_Hall 'P 2ac -2'
_cell_length_a 3.899
_cell_length_b 7.829
_cell_length_c 4.665
_cell_angle_alpha 90.00
_cell_angle_beta 90.00
_cell_angle_gamma 90.00
loop_
_atom_site_label
_atom_site_type_symbol
_atom_site_fract_x
_atom_site_fract_y
_atom_site_fract_z
Li1 Li 0.000 0.044 0.000
Pb1 Pb 0.000 0.585 0.087
S1 S 0.000 0.157 0.500
# Calculated volume (Å³/atom): 23.730
# Formation energy from raw total energies (kJ/mol of formula units): -201
# Polymorph energy (0 for the lowest one) (eV per atom): 0.002
# Magnetization (μB per cell): 0.00

3.
# Li2SbPbS4 PBE optimized geometry
data_Li2SbPbS4
_chemical_formula_sum 'Li4 Sb2 Pb2 S8'
_symmetry_space_group_name_H-M 'I -4 2 m'
_symmetry_Int_Tables_number 121
_symmetry_space_group_name_Hall 'I -4 2'
_cell_length_a 6.643
_cell_length_b 6.643
_cell_length_c 8.619
_cell_angle_alpha 90.00
_cell_angle_beta 90.00
_cell_angle_gamma 90.00
loop_
_atom_site_label
_atom_site_type_symbol
_atom_site_fract_x
_atom_site_fract_y
_atom_site_fract_z
Li1 Li 0.000 0.500 0.250
Sb1 Sb 0.000 0.000 0.000
Pb1 Pb 0.000 0.000 0.500
S1 S 0.226 0.226 0.846
# Calculated volume (Å³/atom): 23.772
# Formation energy from raw total energies (kJ/mol of formula units): -484
# Magnetization (μB per cell): 0.00

4.
# LiSc2PbS PBE optimized geometry
data_LiSc2PbS
_chemical_formula_sum 'Li1 Sc2 Pb1 S1'
_symmetry_space_group_name_H-M 'P 4/m m m'
_symmetry_Int_Tables_number 123
_symmetry_space_group_name_Hall '-P 4 2'
_cell_length_a 4.894
_cell_length_b 4.894
_cell_length_c 4.480
_cell_angle_alpha 90.00
_cell_angle_beta 90.00
_cell_angle_gamma 90.00
loop_
_atom_site_label
_atom_site_type_symbol
_atom_site_fract_x
_atom_site_fract_y
_atom_site_fract_z
Li1 Li 0.000 0.000 0.000
Sc1 Sc 0.000 0.500 0.500
Pb1 Pb 0.500 0.500 0.000
S1 S 0.000 0.000 0.500
# Calculated volume (Å³/atom): 21.459
# Formation energy from raw total energies (kJ/mol of formula units): -436
# Magnetization (μB per cell): 0.00

5.
# Li2ScPbS PBE optimized geometry
data_Li2ScPbS
_chemical_formula_sum 'Li2 Sc1 Pb1 S1'
_symmetry_space_group_name_H-M 'P 4/m m m'
_symmetry_Int_Tables_number 123
_symmetry_space_group_name_Hall '-P 4 2'
_cell_length_a 4.568
_cell_length_b 4.568
_cell_length_c 4.999
_cell_angle_alpha 90.00
_cell_angle_beta 90.00
_cell_angle_gamma 90.00
loop_
_atom_site_label
_atom_site_type_symbol
_atom_site_fract_x
_atom_site_fract_y
_atom_site_fract_z
Li1 Li 0.000 0.500 0.000
Sc1 Sc 0.000 0.000 0.500
Pb1 Pb 0.500 0.500 0.500
S1 S 0.000 0.000 0.000
# Calculated volume (Å³/atom): 20.859
# Formation energy from raw total energies (kJ/mol of formula units): -387
# Magnetization (μB per cell): 0.00

6.
# LiScPbS3 PBE optimized geometry
data_LiScPbS3
_chemical_formula_sum 'Li2 Sc2 Pb2 S6'
_symmetry_space_group_name_H-M 'P 1 21/m 1'
_symmetry_Int_Tables_number 11
_symmetry_space_group_name_Hall '-P 2yb'
_cell_length_a 8.042
_cell_length_b 3.865
_cell_length_c 8.499
_cell_angle_alpha 90.00
_cell_angle_beta 104.77
_cell_angle_gamma 90.00
loop_
_atom_site_label
_atom_site_type_symbol
_atom_site_fract_x
_atom_site_fract_y
_atom_site_fract_z
Li1 Li 0.085 0.250 0.090
Sc1 Sc 0.329 0.750 0.340
Pb1 Pb 0.200 0.250 0.741
S1 S 0.119 0.250 0.372
S2 S 0.224 0.750 0.027
S3 S 0.448 0.750 0.657
# Calculated volume (Å³/atom): 21.289
# Formation energy from raw total energies (kJ/mol of formula units): -733
# Magnetization (μB per cell): 0.00

7.
# LiSiPb2S4 PBE optimized geometry
data_LiSiPb2S4
_chemical_formula_sum 'Li4 Si4 Pb8 S16'
_symmetry_space_group_name_H-M 'I m m a'
_symmetry_Int_Tables_number 74
_symmetry_space_group_name_Hall '-I 2b 2'
_cell_length_a 7.646
_cell_length_b 8.078
_cell_length_c 10.892
_cell_angle_alpha 90.00
_cell_angle_beta 90.00
_cell_angle_gamma 90.00
loop_
_atom_site_label
_atom_site_type_symbol
_atom_site_fract_x
_atom_site_fract_y
_atom_site_fract_z
Li1 Li 0.000 0.000 0.000
Si1 Si 0.250 0.250 0.250
Pb1 Pb 0.000 0.000 0.500
Pb2 Pb 0.250 0.250 0.750
S1 S 0.000 0.041 0.236
S2 S 0.229 0.250 0.027
# Calculated volume (Å³/atom): 21.022
# Formation energy from raw total energies (kJ/mol of formula units): -369
# Magnetization (μB per cell): 0.00

8.
# LiSi2PbS6 PBE optimized geometry
data_LiSi2PbS6
_chemical_formula_sum 'Li4 Si8 Pb4 S24'
_symmetry_space_group_name_H-M 'C 1 2/c 1'
_symmetry_Int_Tables_number 15
_symmetry_space_group_name_Hall '-C 2yc'
_cell_length_a 12.727
_cell_length_b 12.210
_cell_length_c 6.293
_cell_angle_alpha 90.00
_cell_angle_beta 108.65
_cell_angle_gamma 90.00
loop_
_atom_site_label
_atom_site_type_symbol
_atom_site_fract_x
_atom_site_fract_y
_atom_site_fract_z
Li1 Li 0.000 0.127 0.250
Si1 Si 0.205 0.079 0.742
Pb1 Pb 0.000 0.354 0.750
S1 S 0.122 0.428 0.178
S2 S 0.134 0.224 0.576
S3 S 0.136 0.059 0.015
# Calculated volume (Å³/atom): 23.164
# Formation energy from raw total energies (kJ/mol of formula units): -576
# Magnetization (μB per cell): 0.00